A plane-wave DFT calculation with PBEsol was carried out for a relaxed Ta2AlSe crystal.

Output
Formation energy (no corrections) (eV/f.u.): -0.385
DOS at the Fermi energy (states/eV per cell): 2.2
ρ (Mg/m³): 11.4
Space-group type: R-3m, No. 166

Cell lengths 3.032, 3.032, 8.727 Å; angles 80.00, 80.00, 60.00 degrees
Element x y z (fractional)
1 Al 0.500 0.500 0.500
2 Ta 0.255 0.255 0.234
3 Ta 0.745 0.745 0.766
4 Se 0.000 0.000 0.000


A plane-wave DFT calculation with PBEsol was carried out for a relaxed TaAlTeSe2 crystal.

Output
Formation energy (no corrections) (eV/f.u.): -0.030
DOS at the Fermi energy (states/eV per cell): 2.5
ρ (Mg/m³): 6.1
Space-group type: P4/mmm, No. 123

Cell lengths 4.904, 4.904, 5.592 Å; angles 90.00, 90.00, 90.00 degrees
Element x y z (fractional)
1 Se 0.000 0.500 0.000
2 Se 0.500 0.000 0.000
3 Ta 0.000 0.000 0.000
4 Al 0.500 0.500 0.500
5 Te 0.000 0.000 0.500


A plane-wave DFT calculation with PBEsol was carried out for a relaxed Al2TcSe crystal.

Output
Formation energy (no corrections) (eV/f.u.): -0.186
DOS at the Fermi energy (states/eV per cell): 3.0
ρ (Mg/m³): 5.9
Space-group type: R3m, No. 160

Cell lengths 3.042, 3.042, 8.351 Å; angles 79.50, 79.50, 60.00 degrees
Element x y z (fractional)
1 Al 0.994 0.994 0.018
2 Al 0.750 0.750 0.750
3 Se 0.509 0.509 0.472
4 Tc 0.247 0.247 0.260


A plane-wave DFT calculation with PBEsol was carried out for a relaxed AlTcSe2 crystal.

Output
Formation energy (no corrections) (eV/f.u.): 0.358
DOS at the Fermi energy (states/eV per cell): 3.1
ρ (Mg/m³): 6.5
Space-group type: Cmm2, No. 35

Cell lengths 2.959, 2.959, 9.151 Å; angles 90.00, 90.00, 115.97 degrees
Element x y z (fractional)
1 Se 0.500 0.500 0.694
2 Se 0.000 0.000 0.050
3 Al 0.500 0.500 0.267
4 Tc 0.000 0.000 0.489


A plane-wave DFT calculation with PBEsol was carried out for a relaxed Al2TcSe crystal.

Output
Formation energy (no corrections) (eV/f.u.): -0.818
DOS at the Fermi energy (states/eV per cell): 2.1
ρ (Mg/m³): 6.1
Space-group type: Amm2, No. 38

Cell lengths 3.246, 4.139, 4.971 Å; angles 90.00, 109.06, 90.00 degrees
Element x y z (fractional)
1 Se 0.827 0.000 0.654
2 Tc 0.679 0.500 0.359
3 Al 0.093 0.000 0.187
4 Al 0.406 0.500 0.811


A plane-wave DFT calculation with PBEsol was carried out for a relaxed AlTcSe2 crystal.

Output
Formation energy (no corrections) (eV/f.u.): 1.064
DOS at the Fermi energy (states/eV per cell): 3.3
ρ (Mg/m³): 6.5
Space-group type: C2/m, No. 12

Cell lengths 4.560, 4.584, 4.584 Å; angles 101.68, 113.71, 113.71 degrees
Element x y z (fractional)
1 Al 0.500 0.000 0.000
2 Se 0.000 0.000 0.500
3 Se 0.000 0.500 0.000
4 Tc 0.500 0.500 0.500